VASP calculation (GGA-PBE) on a relaxed Sc4ZnPd crystal.

Cell: 4.584 4.584 6.561 Å, 90.00 90.00 90.00°
Atoms (fractional coordinates):
Sc (0.000, 0.500, 0.248)
Sc (0.000, 0.500, 0.752)
Sc (0.500, 0.000, 0.248)
Sc (0.500, 0.000, 0.752)
Zn (0.000, 0.000, 0.500)
Pd (0.500, 0.500, 0.000)

* formation energy from the elements: -0.20 eV per atom
* space group: No. 123